[1]
Computed, not measured: KBaAu2 after structural relaxation at the GGA-PBE level of DFT.

Values from the calculation:
The total magnetization is 0.0 μB per cell. Its formation energy is -2.123 eV per formula unit. For the energy above the most stable polymorph in this dataset, the calculation gives 0.00 eV per formula unit.

a b c (Å): 6.481 6.481 4.845
angles (deg): 90.02 90.02 41.55
Atoms (fractional coordinates):
Ba 0.487 0.487 0.375
K 0.766 0.766 0.875
Au 0.195 0.195 0.375
Au 0.052 0.052 0.875

[2]
Computed, not measured: NdYSe2O after structural relaxation at the GGA-PBE level of DFT.

Values from the calculation:
The total magnetization is 0.0 μB per cell. The value obtained for the uncorrected formation energy is -1152.4 kJ/mol of formula units.

a b c (Å): 4.057 4.057 14.610
angles (deg): 90.00 90.00 90.00
Atoms (fractional coordinates):
Se 0.500 0.000 0.911
O 0.500 0.500 0.500
Se 0.500 0.000 0.304
Nd 0.500 0.000 0.581
Y 0.500 0.000 0.124
Se 0.000 0.500 0.089
Nd 0.000 0.500 0.419
Se 0.000 0.500 0.696
Y 0.000 0.500 0.876
O 0.000 0.000 0.500

| no. | DFT total energy (eV/atom) |
| --- | --- |
| 1 | -2.92 |
| 2 | -7.02 |